VASP calculation (GGA+U) on a geometry-optimized LiPr2FeO6 structure.

Lattice parameters (Å, degrees): 5.400 5.400 7.638 90.00 90.00 90.00
Last column: magnetic moment on the atom in μB.
Atoms (fractional coordinates):
1 O 0.500 0.250 0.257  -0.03
2 O 0.500 0.250 0.743  -0.03
3 O 0.243 0.507 0.000  -0.03
4 O 0.743 0.008 0.500  -0.03
5 O 0.000 0.750 0.757  -0.03
6 O 0.743 0.493 0.500  -0.03
7 O 0.243 0.992 0.000  -0.03
8 O 0.257 0.008 0.500  -0.03
9 O 0.757 0.992 0.000  -0.03
10 O 0.000 0.750 0.243  -0.03
11 O 0.257 0.493 0.500  -0.03
12 O 0.757 0.507 0.000  -0.03
13 Li 0.500 0.250 0.000  -0.01
14 Li 0.000 0.750 0.500  -0.01
15 Pr 0.500 0.750 0.750  0.02
16 Pr 0.000 0.250 0.250  0.02
17 Pr 0.000 0.250 0.750  0.02
18 Pr 0.500 0.750 0.250  0.02
19 Fe 0.000 0.750 0.000  3.12
20 Fe 0.500 0.250 0.500  3.12

Properties
Space group: Fm-3m
DFT total energy in eV per atom: -6.9699
Total magnetic moment in μB/cell: 6.0